# WCI2O PBE+U relaxed
# space-group type = P4/mmm, No. 123
# calculated total energy = -19.464 eV/cell
data_WCI2O
_symmetry_space_group_name_H-M 'P 1'
_symmetry_Int_Tables_number 1
_cell_length_a 5.826
_cell_length_b 5.826
_cell_length_c 3.867
_cell_angle_alpha 90.00
_cell_angle_beta 90.00
_cell_angle_gamma 90.00
loop_
_symmetry_equiv_pos_as_xyz
'x,y,z'
loop_
_atom_site_label
_atom_site_type_symbol
_atom_site_fract_x
_atom_site_fract_y
_atom_site_fract_z
_atom_site_occupancy
W1 W 0.000 0.000 0.000 1
C1 C 0.500 0.500 0.500 1
I1 I 0.000 0.500 0.000 1
I2 I 0.500 0.000 0.000 1
O1 O 0.000 0.000 0.500 1